[1]
# Sc2AsAu | the Alexandria database | PBE | optimized geometry
data_Sc2AsAu
_cell_length_a 4.009
_cell_length_b 3.849
_cell_length_c 10.470
_cell_angle_alpha 90.00
_cell_angle_beta 90.00
_cell_angle_gamma 90.00
_space_group_name_H-M_alt 'A m m 2'
_space_group_IT_number 38
loop_
_space_group_symop_operation_xyz
'x,y,z'
'-x,-y,z'
'-x,y,z'
'x,-y,z'
'x,y+1/2,z+1/2'
'-x,-y+1/2,z+1/2'
'-x,y+1/2,z+1/2'
'x,-y+1/2,z+1/2'
loop_
_atom_site_label
_atom_site_type_symbol
_atom_site_fract_x
_atom_site_fract_y
_atom_site_fract_z
Sc1 Sc 0.000 0.000 0.000
Sc2 Sc 0.500 0.000 0.282
As1 As 0.000 0.000 0.736
Au1 Au 0.500 0.000 0.548
# DOS at the Fermi energy	3.770	states/eV/f.u.
# energy of formation from the pure elements	-369.8	kJ/mol of formula units

[2]
# ScAsAu2 | the Alexandria database | PBE | optimized geometry
data_ScAsAu2
_cell_length_a 3.875
_cell_length_b 3.875
_cell_length_c 5.551
_cell_angle_alpha 90.00
_cell_angle_beta 90.00
_cell_angle_gamma 90.00
_space_group_name_H-M_alt 'P 4 m m'
_space_group_IT_number 99
loop_
_space_group_symop_operation_xyz
'x,y,z'
'-y,x,z'
'-x,-y,z'
'y,-x,z'
'-x,y,z'
'y,x,z'
'x,-y,z'
'-y,-x,z'
loop_
_atom_site_label
_atom_site_type_symbol
_atom_site_fract_x
_atom_site_fract_y
_atom_site_fract_z
Sc1 Sc 0.000 0.000 0.000
As1 As 0.500 0.500 0.001
Au1 Au 0.000 0.000 0.500
Au2 Au 0.500 0.500 0.501
# DOS at the Fermi energy	0.540	states/eV/f.u.
# energy of formation from the pure elements	-183.3	kJ/mol of formula units

[3]
# Sc2AsAu | the Alexandria database | PBE | optimized geometry
data_Sc2AsAu
_cell_length_a 6.846
_cell_length_b 6.846
_cell_length_c 6.846
_cell_angle_alpha 90.00
_cell_angle_beta 90.00
_cell_angle_gamma 90.00
_space_group_name_H-M_alt 'F -4 3 m'
_space_group_IT_number 216
_space_group_name_Hall 'F -4 2 3'
loop_
_atom_site_label
_atom_site_type_symbol
_atom_site_fract_x
_atom_site_fract_y
_atom_site_fract_z
Sc1 Sc 0.000 0.000 0.000
Sc2 Sc 0.250 0.250 0.250
As1 As 0.250 0.250 0.750
Au1 Au 0.000 0.000 0.500
# DOS at the Fermi energy	5.690	states/eV/f.u.
# energy of formation from the pure elements	-74.2	kJ/mol of formula units

[4]
# Sc2AsAu2 | the Alexandria database | PBE | optimized geometry
data_Sc2AsAu2
_cell_length_a 7.361
_cell_length_b 7.361
_cell_length_c 3.858
_cell_angle_alpha 90.00
_cell_angle_beta 90.00
_cell_angle_gamma 90.00
_space_group_name_H-M_alt 'P 4/m b m'
_space_group_IT_number 127
_space_group_name_Hall '-P 4 2ab'
loop_
_atom_site_label
_atom_site_type_symbol
_atom_site_fract_x
_atom_site_fract_y
_atom_site_fract_z
Sc1 Sc 0.167 0.333 0.000
As1 As 0.000 0.000 0.000
Au1 Au 0.134 0.634 0.500
# ΔE to the lowest computed polymorph	12.1	meV/atom
# DOS at the Fermi energy	3.306	states/eV/f.u.
# energy of formation from the pure elements	-312.9	kJ/mol of formula units

[5]
# Sc2AsAu | the Alexandria database | PBE | optimized geometry
data_Sc2AsAu
_cell_length_a 3.754
_cell_length_b 22.098
_cell_length_c 4.021
_cell_angle_alpha 90.00
_cell_angle_beta 90.00
_cell_angle_gamma 90.00
_space_group_name_H-M_alt 'C m c m'
_space_group_IT_number 63
_space_group_name_Hall '-C 2c 2'
loop_
_atom_site_label
_atom_site_type_symbol
_atom_site_fract_x
_atom_site_fract_y
_atom_site_fract_z
Sc1 Sc 0.000 0.071 0.250
Sc2 Sc 0.000 0.314 0.250
As1 As 0.000 0.191 0.250
Au1 Au 0.000 0.453 0.250
# DOS at the Fermi energy	2.329	states/eV/f.u.
# energy of formation from the pure elements	-395.7	kJ/mol of formula units

[6]
# Sc2AsAu | the Alexandria database | PBE | optimized geometry
data_Sc2AsAu
_cell_length_a 3.8517
_cell_length_b 3.8517
_cell_length_c 24.5915
_cell_angle_alpha 90.00
_cell_angle_beta 90.00
_cell_angle_gamma 120.00
_space_group_name_H-M_alt 'R -3 m'
_space_group_IT_number 166
_space_group_name_Hall '-R 3 2"'
loop_
_atom_site_label
_atom_site_type_symbol
_atom_site_fract_x
_atom_site_fract_y
_atom_site_fract_z
Sc1 Sc 0.0000 0.0000 0.1095
As1 As 0.0000 0.0000 0.5000
Au1 Au 0.0000 0.0000 0.0000
# DOS at the Fermi energy	3.171	states/eV/f.u.
# energy of formation from the pure elements	-159.3	kJ/mol of formula units

| no. | total magnetic moment (μB/atom) |
| --- | --- |
| 1 | 0.00 |
| 2 | 0.00 |
| 3 | 0.17 |
| 4 | 0.00 |
| 5 | 0.00 |
| 6 | 0.00 |